# PrSiAg (PBE, optimized geometry)
# - space-group type = No. 63
# - total magnetic moment (μB per cell) = 0.0
# - raw formation energy (eV per atom) = -0.511
# - theoretical density (Mg/m³) = 6.77
# - E_tot (eV/atom) = -4.86
data_PrSiAg
_space_group_name_H-M_alt 'P 1'
_space_group_IT_number 1
_cell_length_a 8.5032
_cell_length_b 8.5032
_cell_length_c 3.8692
_cell_angle_alpha 90.00
_cell_angle_beta 90.00
_cell_angle_gamma 150.94
loop_
_space_group_symop_operation_xyz
'x,y,z'
loop_
_atom_site_label
_atom_site_type_symbol
_atom_site_fract_x
_atom_site_fract_y
_atom_site_fract_z
Pr1 Pr 0.1015 0.8985 0.7500
Pr2 Pr 0.8985 0.1015 0.2500
Si1 Si 0.4575 0.5425 0.7500
Si2 Si 0.5425 0.4575 0.2500
Ag1 Ag 0.2900 0.7100 0.7500
Ag2 Ag 0.7100 0.2900 0.2500

***

# ErIn2I8 (PBE, optimized geometry)
# - space-group type = No. 12
# - total magnetic moment (μB per cell) = 0.0
# - raw formation energy (eV per atom) = -0.740
# - theoretical density (Mg/m³) = 3.95
# - E_tot (eV/atom) = -2.78
data_ErIn2I8
_space_group_name_H-M_alt 'P 1'
_space_group_IT_number 1
_cell_length_a 9.1030
_cell_length_b 9.1030
_cell_length_c 7.4452
_cell_angle_alpha 98.21
_cell_angle_beta 98.21
_cell_angle_gamma 78.33
loop_
_space_group_symop_operation_xyz
'x,y,z'
loop_
_atom_site_label
_atom_site_type_symbol
_atom_site_fract_x
_atom_site_fract_y
_atom_site_fract_z
Er1 Er 0.0000 0.0000 0.0000
In1 In 0.2006 0.2006 0.6639
In2 In 0.7994 0.7994 0.3361
I1 I 0.0998 0.7319 0.2132
I2 I 0.1922 0.1922 0.2671
I3 I 0.2681 0.9002 0.7868
I4 I 0.3907 0.3907 0.8428
I5 I 0.6093 0.6093 0.1572
I6 I 0.7319 0.0998 0.2132
I7 I 0.8078 0.8078 0.7329
I8 I 0.9002 0.2681 0.7868

***

# Th6Te3PPt2 (PBE, optimized geometry)
# - space-group type = No. 12
# - total magnetic moment (μB per cell) = 0.0
# - raw formation energy (eV per atom) = -1.218
# - theoretical density (Mg/m³) = 10.30
# - E_tot (eV/atom) = -7.17
data_Th6Te3PPt2
_space_group_name_H-M_alt 'P 1'
_space_group_IT_number 1
_cell_length_a 7.4452
_cell_length_b 7.4452
_cell_length_c 7.7641
_cell_angle_alpha 99.19
_cell_angle_beta 99.19
_cell_angle_gamma 119.80
loop_
_space_group_symop_operation_xyz
'x,y,z'
loop_
_atom_site_label
_atom_site_type_symbol
_atom_site_fract_x
_atom_site_fract_y
_atom_site_fract_z
Th1 Th 0.0919 0.4296 0.7892
Th2 Th 0.2316 0.2316 0.2099
Th3 Th 0.4296 0.0919 0.7892
Th4 Th 0.5704 0.9081 0.2108
Th5 Th 0.7684 0.7684 0.7901
Th6 Th 0.9081 0.5704 0.2108
Te1 Te 0.0000 0.0000 0.5000
Te2 Te 0.3369 0.6631 0.5000
Te3 Te 0.6631 0.3369 0.5000
P1 P 0.5000 0.5000 0.0000
Pt1 Pt 0.1669 0.8331 0.0000
Pt2 Pt 0.8331 0.1669 0.0000

***

# Pm2InRh2 (PBE, optimized geometry)
# - space-group type = No. 127
# - calculated formation energy (eV/atom) = -0.704
# - total magnetic moment (μB per cell) = 0.0
# - theoretical density (Mg/m³) = 8.98
# - E_tot (eV/atom) = -6.09
data_Pm2InRh2
_space_group_name_H-M_alt 'P 1'
_space_group_IT_number 1
_cell_length_a 7.5783
_cell_length_b 7.5783
_cell_length_c 3.9317
_cell_angle_alpha 90.00
_cell_angle_beta 90.00
_cell_angle_gamma 90.00
loop_
_space_group_symop_operation_xyz
'x,y,z'
loop_
_atom_site_label
_atom_site_type_symbol
_atom_site_fract_x
_atom_site_fract_y
_atom_site_fract_z
Pm1 Pm 0.1708 0.3292 0.0000
Pm2 Pm 0.3292 0.8292 0.0000
Pm3 Pm 0.6708 0.1708 0.0000
Pm4 Pm 0.8292 0.6708 0.0000
In1 In 0.0000 0.0000 0.5000
In2 In 0.5000 0.5000 0.5000
Rh1 Rh 0.1326 0.6326 0.5000
Rh2 Rh 0.3674 0.1326 0.5000
Rh3 Rh 0.6326 0.8674 0.5000
Rh4 Rh 0.8674 0.3674 0.5000

***

# NdThCoNi (PBE, optimized geometry)
# - space-group type = No. 216
# - calculated formation energy (eV/atom) = -0.130
# - total magnetic moment (μB per cell) = 0.0
# - theoretical density (Mg/m³) = 9.77
# - E_tot (eV/atom) = -6.40
data_NdThCoNi
_space_group_name_H-M_alt 'P 1'
_space_group_IT_number 1
_cell_length_a 4.9151
_cell_length_b 4.9151
_cell_length_c 4.9151
_cell_angle_alpha 60.00
_cell_angle_beta 60.00
_cell_angle_gamma 60.00
loop_
_space_group_symop_operation_xyz
'x,y,z'
loop_
_atom_site_label
_atom_site_type_symbol
_atom_site_fract_x
_atom_site_fract_y
_atom_site_fract_z
Nd1 Nd 0.0000 0.0000 0.0000
Th1 Th 0.5000 0.5000 0.5000
Co1 Co 0.2500 0.2500 0.2500
Ni1 Ni 0.7500 0.7500 0.7500

***

# Mg5Mn (PBE, optimized geometry)
# - space-group type = No. 191
# - calculated formation energy (eV/atom) = 0.399
# - total magnetic moment (μB per cell) = 4.0
# - theoretical density (Mg/m³) = 2.06
# - E_tot (eV/atom) = -2.46
data_Mg5Mn
_space_group_name_H-M_alt 'P 1'
_space_group_IT_number 1
_cell_length_a 5.6835
_cell_length_b 5.6835
_cell_length_c 5.0786
_cell_angle_alpha 90.00
_cell_angle_beta 90.00
_cell_angle_gamma 120.00
loop_
_space_group_symop_operation_xyz
'x,y,z'
loop_
_atom_site_label
_atom_site_type_symbol
_atom_site_fract_x
_atom_site_fract_y
_atom_site_fract_z
Mg1 Mg 0.0000 0.5000 0.0000
Mg2 Mg 0.3333 0.6667 0.5000
Mg3 Mg 0.5000 0.0000 0.0000
Mg4 Mg 0.5000 0.5000 0.0000
Mg5 Mg 0.6667 0.3333 0.5000
Mn1 Mn 0.0000 0.0000 0.5000

***

# Ag3HgSe2 (PBE, optimized geometry)
# - space-group type = No. 72
# - total magnetic moment (μB per cell) = 0.0
# - raw formation energy (eV per atom) = 0.004
# - theoretical density (Mg/m³) = 8.15
# - E_tot (eV/atom) = -2.63
# - offset from the most stable computed form (eV/atom) = 0.031
data_Ag3HgSe2
_space_group_name_H-M_alt 'P 1'
_space_group_IT_number 1
_cell_length_a 8.0722
_cell_length_b 8.0722
_cell_length_c 8.0722
_cell_angle_alpha 128.07
_cell_angle_beta 69.76
_cell_angle_gamma 136.83
loop_
_space_group_symop_operation_xyz
'x,y,z'
loop_
_atom_site_label
_atom_site_type_symbol
_atom_site_fract_x
_atom_site_fract_y
_atom_site_fract_z
Ag1 Ag 0.0542 0.7500 0.3042
Ag2 Ag 0.2500 0.2500 0.0000
Ag3 Ag 0.4458 0.7500 0.6958
Ag4 Ag 0.5542 0.2500 0.3042
Ag5 Ag 0.7500 0.7500 0.0000
Ag6 Ag 0.9458 0.2500 0.6958
Hg1 Hg 0.0000 0.5000 0.5000
Hg2 Hg 0.5000 0.0000 0.5000
Se1 Se 0.1521 0.1765 0.3286
Se2 Se 0.3479 0.6765 0.0244
Se3 Se 0.6521 0.3235 0.9756
Se4 Se 0.8479 0.8235 0.6714

***

# TbI3Br (PBE, optimized geometry)
# - space-group type = No. 46
# - total magnetic moment (μB per cell) = 0.0
# - raw formation energy (eV per atom) = -1.106
# - theoretical density (Mg/m³) = 4.85
# - E_tot (eV/atom) = -3.30
data_TbI3Br
_space_group_name_H-M_alt 'P 1'
_space_group_IT_number 1
_cell_length_a 8.6936
_cell_length_b 8.6936
_cell_length_c 8.6936
_cell_angle_alpha 82.82
_cell_angle_beta 129.69
_cell_angle_gamma 119.10
loop_
_space_group_symop_operation_xyz
'x,y,z'
loop_
_atom_site_label
_atom_site_type_symbol
_atom_site_fract_x
_atom_site_fract_y
_atom_site_fract_z
Tb1 Tb 0.2325 0.2500 0.4825
Tb2 Tb 0.7675 0.7500 0.5175
I1 I 0.2282 0.0139 0.2410
I2 I 0.2282 0.4873 0.7143
I3 I 0.7034 0.9855 0.2179
I4 I 0.7675 0.4855 0.7821
I5 I 0.7729 0.5139 0.2857
I6 I 0.7729 0.9873 0.7590
Br1 Br 0.2497 0.0119 0.7378
Br2 Br 0.2741 0.5119 0.2622

***

Among the records above, which one has the highest E_tot? Mg5Mn